one | Y2SbS2 | PBE | optimized geometry

a b c (Å): 8.060 8.060 3.548
angles (deg): 90.00 90.00 90.00
Positions (direct):
S 0.134 0.634 0.500
Y 0.343 0.843 0.000
S 0.634 0.866 0.500
Y 0.657 0.157 0.000
Y 0.843 0.657 0.000
S 0.866 0.366 0.500
Sb 0.500 0.500 0.000
Sb 0.000 0.000 0.000
S 0.366 0.134 0.500
Y 0.157 0.343 0.000

Results
Magnetic moment ... 0.00 μB per cell
V ... 115 Å³/f.u.

=====

two | Y2SbS2 | PBE | optimized geometry

a b c (Å): 8.083 8.083 3.425
angles (deg): 90.00 90.00 90.00
Positions (direct):
Sb 0.000 0.000 0.000
S 0.128 0.372 0.000
Sb 0.500 0.500 0.000
Y 0.664 0.836 0.500
S 0.372 0.872 0.000
Y 0.336 0.164 0.500
S 0.872 0.628 0.000
Y 0.164 0.664 0.500
S 0.628 0.128 0.000
Y 0.836 0.336 0.500

Results
Magnetic moment ... 0.00 μB per cell
V ... 112 Å³/f.u.

=====

Energy comparison, zero being the most stable, in meV per atom: one 0; two 139.

=====

one | ZrSbS4 | PBE | optimized geometry

a b c (Å): 5.117 8.618 8.135
angles (deg): 107.43 90.00 107.27
Positions (direct):
S 0.646 0.292 0.748
S 0.101 0.203 0.028
S 0.736 0.471 0.345
S 0.065 0.129 0.376
S 0.935 0.871 0.624
Zr 0.209 0.419 0.307
Sb 0.899 0.798 0.290
S 0.354 0.708 0.252
Sb 0.101 0.202 0.710
Zr 0.791 0.581 0.693
S 0.899 0.797 0.972
S 0.264 0.529 0.655

Results
Magnetic moment ... 0.00 μB per cell
V ... 163 Å³/f.u.

=====

two | ZrSbS4 | PBE | optimized geometry

a b c (Å): 3.702 6.584 7.709
angles (deg): 64.72 76.11 90.00
Positions (direct):
Sb 0.500 0.500 0.000
S 0.607 0.940 0.786
S 0.110 0.435 0.780
Zr 0.000 0.000 0.000
S 0.393 0.060 0.214
S 0.890 0.565 0.220

Results
Magnetic moment ... 0.00 μB per cell
V ... 164 Å³/f.u.

=====

Energy comparison, zero being the most stable, in meV per atom: one 147; two 0.

=====

one | Zr3SbS | PBE | optimized geometry

a b c (Å): 3.939 7.667 7.667
angles (deg): 73.72 90.00 90.00
Positions (direct):
Zr 0.863 0.636 0.066
Sb 0.863 0.194 0.247
Zr 0.363 0.377 0.430
Zr 0.363 0.011 0.063
Zr 0.863 0.374 0.805
Zr 0.863 0.753 0.426
S 0.363 0.194 0.746
Zr 0.863 0.014 0.688
S 0.363 0.694 0.246
Sb 0.363 0.694 0.746

Results
Magnetic moment ... 0.00 μB per cell
V ... 111 Å³/f.u.

=====

two | Zr3SbS | PBE | optimized geometry

a b c (Å): 4.834 4.834 4.834
angles (deg): 90.00 90.00 90.00
Positions (direct):
Zr 0.500 0.000 0.000
Zr 0.000 0.000 0.500
Sb 0.500 0.500 0.500
Zr 0.000 0.500 0.000
S 0.000 0.000 0.000

Results
Magnetic moment ... 0.00 μB per cell
V ... 113 Å³/f.u.

=====

Energy comparison, zero being the most stable, in meV per atom: one 0; two 308.

=====

one | Sc4S | PBE | optimized geometry

a b c (Å): 3.425 3.425 11.318
angles (deg): 81.30 81.30 59.99
Positions (direct):
Sc 0.793 0.793 0.618
Sc 0.381 0.381 0.855
S 0.000 0.000 0.000
Sc 0.207 0.207 0.382
Sc 0.619 0.619 0.145

Results
Magnetic moment ... 0.14 μB per cell
V ... 113 Å³/f.u.

=====

two | Sc4S | PBE | optimized geometry

a b c (Å): 4.908 4.908 4.908
angles (deg): 90.00 90.00 90.00
Site moments in Bohr magnetons follow the coordinates.
Positions (direct):
Sc 0.000 0.500 0.500  0.14
S 0.500 0.500 0.500  -0.01
Sc 0.500 0.000 0.500  0.14
Sc 0.500 0.500 0.000  0.14
Sc 0.000 0.000 0.000  0.21

Results
Magnetic moment ... 1.17 μB per cell
V ... 118 Å³/f.u.

=====

Energy comparison, zero being the most stable, in meV per atom: one 0; two 95.

=====

one | Sc3Se3S | PBE | optimized geometry

a b c (Å): 9.298 9.298 9.298
angles (deg): 109.47 109.47 109.47
Positions (direct):
S 0.500 0.250 0.500
S 0.750 0.500 0.000
Sc 0.750 0.250 0.750
Se 0.499 0.999 0.749
Se 0.499 0.501 0.250
Sc 0.000 0.750 0.000
Se 0.499 0.749 0.999
Sc 0.000 0.250 0.501
Se 0.001 0.501 0.751
Se 0.249 0.250 0.751
Sc 0.250 0.250 0.250
Se 0.750 0.999 0.501
S 0.000 0.000 0.250
Se 0.001 0.751 0.501
Sc 0.750 0.750 0.250
Se 0.251 0.749 0.250
Se 0.251 0.501 0.501
Sc 0.750 0.000 0.999
Se 0.750 0.751 0.749
Sc 0.500 0.999 0.250
Sc 0.250 0.000 0.500
S 0.750 0.250 0.250
Sc 0.499 0.250 0.000
Sc 0.750 0.501 0.500
Se 0.249 0.999 0.999
Sc 0.500 0.500 0.750
Se 0.001 0.250 0.999
Sc 0.001 0.500 0.250

Results
Magnetic moment ... 0.00 μB per cell
V ... 155 Å³/f.u.

=====

two | Sc3Se3S | PBE | optimized geometry

a b c (Å): 5.428 8.846 8.846
angles (deg): 119.98 90.00 90.00
Positions (direct):
Sc 0.750 0.171 0.829
Se 0.750 0.827 0.653
S 0.250 0.667 0.333
Se 0.250 0.173 0.827
Sc 0.750 0.658 0.829
Se 0.250 0.173 0.347
Se 0.750 0.827 0.173
Sc 0.250 0.342 0.171
Sc 0.250 0.829 0.658
Se 0.750 0.347 0.174
Sc 0.750 0.171 0.342
S 0.750 0.333 0.667
Sc 0.250 0.829 0.171
Se 0.250 0.653 0.826

Results
Magnetic moment ... 0.00 μB per cell
V ... 184 Å³/f.u.

=====

Energy comparison, zero being the most stable, in meV per atom: one 0; two 164.

=====

one | Sc4SeS3 | PBE | optimized geometry

a b c (Å): 3.720 6.490 6.490
angles (deg): 109.27 90.00 90.00
Positions (direct):
S 0.000 0.500 0.000
Se 0.500 0.000 0.000
Sc 0.000 0.728 0.728
Sc 0.000 0.272 0.272
Sc 0.500 0.261 0.739
S 0.500 0.500 0.500
Sc 0.500 0.739 0.261
S 0.000 0.000 0.500

Results
Magnetic moment ... 0.00 μB per cell
V ... 148 Å³/f.u.

=====

two | Sc4SeS3 | PBE | optimized geometry

a b c (Å): 5.290 5.290 5.290
angles (deg): 90.00 90.00 90.00
Positions (direct):
S 0.500 0.500 0.000
Sc 0.000 0.500 0.000
Sc 0.500 0.000 0.000
S 0.500 0.000 0.500
S 0.000 0.500 0.500
Sc 0.500 0.500 0.500
Sc 0.000 0.000 0.500
Se 0.000 0.000 0.000

Results
Magnetic moment ... 0.00 μB per cell
V ... 148 Å³/f.u.

=====

Energy comparison, zero being the most stable, in meV per atom: one 0; two 35.

=====

one | Y2ScSeS | PBE | optimized geometry

a b c (Å): 5.170 5.317 5.170
angles (deg): 90.00 90.00 90.00
Site moments in Bohr magnetons follow the coordinates.
Positions (direct):
Y 0.000 0.000 0.500  0.31
Sc 0.500 0.500 0.500  0.69
Y 0.500 0.000 0.000  0.24
S 0.000 0.000 0.000  -0.01
Se 0.000 0.500 0.000  -0.01

Results
Magnetic moment ... 2.34 μB per cell
V ... 142 Å³/f.u.

=====

two | Y2ScSeS | PBE | optimized geometry

a b c (Å): 5.225 4.718 5.225
angles (deg): 90.00 90.00 90.00
Positions (direct):
S 0.000 0.000 0.000
Y 0.000 0.000 0.500
Se 0.500 0.500 0.500
Y 0.500 0.000 0.000
Sc 0.000 0.500 0.000

Results
Magnetic moment ... 0.00 μB per cell
V ... 129 Å³/f.u.

=====

Energy comparison, zero being the most stable, in meV per atom: one 446; two 0.

=====

one | Sc3SnS | PBE | optimized geometry

a b c (Å): 5.070 6.173 8.066
angles (deg): 104.72 90.00 90.00
Site moments in Bohr magnetons follow the coordinates.
Positions (direct):
Sn 0.750 0.675 0.280  -0.02
Sc 0.750 0.051 0.616  0.22
Sc 0.250 0.949 0.384  0.22
Sc 0.250 0.468 0.380  0.21
S 0.250 0.132 0.135  -0.01
Sc 0.250 0.871 0.832  0.03
Sn 0.250 0.325 0.720  -0.02
Sc 0.750 0.129 0.168  0.03
S 0.750 0.868 0.865  -0.01
Sc 0.750 0.532 0.620  0.21

Results
Magnetic moment ... 1.24 μB per cell
V ... 122 Å³/f.u.

=====

two | Sc3SnS | PBE | optimized geometry

a b c (Å): 4.809 4.809 4.809
angles (deg): 90.00 90.00 90.00
Positions (direct):
Sc 0.500 0.000 0.000
Sn 0.500 0.500 0.500
S 0.000 0.000 0.000
Sc 0.000 0.500 0.000
Sc 0.000 0.000 0.500

Results
Magnetic moment ... 0.00 μB per cell
V ... 111 Å³/f.u.

=====

Energy comparison, zero being the most stable, in meV per atom: one 46; two 0.

=====

one | ScSnS3 | PBE | optimized geometry

a b c (Å): 4.930 4.930 4.930
angles (deg): 90.00 90.00 90.00
Site moments in Bohr magnetons follow the coordinates.
Positions (direct):
S 0.500 0.000 0.000  -0.02
S 0.000 0.000 0.500  -0.02
Sc 0.500 0.500 0.500  0.34
S 0.000 0.500 0.000  -0.03
Sn 0.000 0.000 0.000  0.01

Results
Magnetic moment ... 0.35 μB per cell
V ... 120 Å³/f.u.

=====

two | ScSnS3 | PBE | optimized geometry

a b c (Å): 6.565 6.571 6.571
angles (deg): 120.00 90.00 90.00
Positions (direct):
Sc 0.500 0.000 0.000
S 0.750 0.701 0.018
S 0.750 0.982 0.683
Sn 0.000 0.667 0.333
S 0.250 0.701 0.683
S 0.750 0.317 0.299
S 0.250 0.982 0.299
Sc 0.000 0.000 0.000
Sn 0.500 0.667 0.333
S 0.250 0.317 0.018

Results
Magnetic moment ... 0.00 μB per cell
V ... 123 Å³/f.u.

=====

Energy comparison, zero being the most stable, in meV per atom: one 828; two 0.

=====

one | SrScS3 | PBE | optimized geometry

a b c (Å): 4.951 4.951 4.951
angles (deg): 90.00 90.00 90.00
Positions (direct):
Sc 0.000 0.000 0.000
S 0.500 0.000 0.000
S 0.000 0.000 0.500
S 0.000 0.500 0.000
Sr 0.500 0.500 0.500

Results
Magnetic moment ... 0.00 μB per cell
V ... 121 Å³/f.u.

=====

two | SrScS3 | PBE | optimized geometry

a b c (Å): 5.289 5.289 5.289
angles (deg): 90.00 90.00 90.00
Positions (direct):
S 0.500 0.000 0.000
Sr 0.000 0.000 0.000
S 0.000 0.000 0.500
S 0.000 0.500 0.000
Sc 0.500 0.500 0.500

Results
Magnetic moment ... 0.00 μB per cell
V ... 148 Å³/f.u.

=====

Energy comparison, zero being the most stable, in meV per atom: one 0; two 1459.

=====

one | SrSc2S4 | PBE | optimized geometry

a b c (Å): 3.804 11.718 13.741
angles (deg): 90.00 90.00 90.00
Positions (direct):
Sr 0.250 0.739 0.166
Sc 0.750 0.419 0.099
S 0.750 0.028 0.716
S 0.250 0.296 0.660
S 0.250 0.472 0.216
Sc 0.250 0.581 0.901
Sr 0.250 0.239 0.334
Sc 0.750 0.440 0.609
S 0.250 0.586 0.575
S 0.750 0.204 0.160
S 0.250 0.972 0.284
S 0.250 0.877 0.527
S 0.250 0.796 0.840
Sc 0.250 0.560 0.391
Sc 0.250 0.060 0.109
Sc 0.750 0.940 0.891
Sr 0.750 0.261 0.834
Sr 0.750 0.761 0.666
Sc 0.750 0.919 0.401
S 0.750 0.914 0.075
S 0.750 0.623 0.027
S 0.750 0.414 0.425
S 0.750 0.704 0.340
S 0.250 0.377 0.973
S 0.750 0.123 0.473
S 0.750 0.528 0.784
S 0.250 0.086 0.925
Sc 0.250 0.081 0.599

Results
Magnetic moment ... 0.00 μB per cell
V ... 153 Å³/f.u.

=====

two | SrSc2S4 | PBE | optimized geometry

a b c (Å): 3.818 6.498 12.932
angles (deg): 90.00 90.00 107.08
Positions (direct):
Sr 0.390 0.780 0.250
S 0.232 0.465 0.890
S 0.768 0.535 0.110
Sc 0.135 0.270 0.067
Sr 0.610 0.220 0.750
Sc 0.135 0.270 0.433
S 0.500 0.000 0.500
Sc 0.865 0.730 0.567
S 0.232 0.465 0.610
S 0.768 0.535 0.390
Sc 0.865 0.730 0.933
S 0.934 0.867 0.750
S 0.500 0.000 0.000
S 0.066 0.133 0.250

Results
Magnetic moment ... 0.00 μB per cell
V ... 153 Å³/f.u.

=====

Energy comparison, zero being the most stable, in meV per atom: one 0; two 25.